(1)
Entry from Alexandria via LeMat-Bulk: a geometry-optimized K3ErPu2O9 structure (GGA-PBE).

Lattice parameters (Å, degrees): 6.035 6.035 7.402 90.00 90.00 120.00
Last column: magnetic moment on the atom in μB.
Atoms (fractional coordinates):
K 0.333 0.667 0.661  0.00
K 0.000 0.000 0.000  0.00
K 0.667 0.333 0.339  0.00
Er 0.000 0.000 0.500  -0.04
Pu 0.333 0.667 0.166  2.47
Pu 0.667 0.333 0.834  2.47
O 0.826 0.174 0.677  -0.09
O 0.826 0.652 0.677  -0.09
O 0.348 0.174 0.677  -0.09
O 0.652 0.826 0.323  -0.09
O 0.174 0.348 0.323  -0.09
O 0.174 0.826 0.323  -0.09
O 0.500 0.000 0.000  -0.12
O 0.000 0.500 0.000  -0.12
O 0.500 0.500 0.000  -0.12

Properties
**Spin magnetization**: 4.000 μB/cell
**ΔE_f (raw)**: -2.57 eV/atom
**Volume**: 233.5 Å³/cell
**Mass density**: 6.52 g/cm3

=====

(2)
Entry from Alexandria via LeMat-Bulk: a geometry-optimized K2Er2PuO6 structure (GGA-PBE).

Lattice parameters (Å, degrees): 5.970 5.970 6.671 98.62 98.62 119.99
Last column: magnetic moment on the atom in μB.
Atoms (fractional coordinates):
K 0.831 0.169 0.000  0.00
K 0.169 0.831 0.000  0.00
Er 0.334 0.666 0.500  0.01
Er 0.666 0.334 0.500  0.01
Pu 0.000 0.000 0.500  4.17
O 0.736 0.736 0.672  -0.04
O 0.051 0.388 0.673  -0.03
O 0.264 0.264 0.328  -0.04
O 0.388 0.051 0.673  -0.03
O 0.949 0.612 0.327  -0.03
O 0.612 0.949 0.327  -0.03

Properties
**Spin magnetization**: 4.000 μB/cell
**ΔE_f (raw)**: -2.85 eV/atom
**Volume**: 196.5 Å³/cell
**Mass density**: 6.36 g/cm3